First-principles (PBE) data for a relaxed structure of La5P3Cl, as listed in Alexandria.

a = 8.9734 Å, b = 8.9734 Å, c = 6.4657 Å
α = 90.00°, β = 90.00°, γ = 120.00°
Sites, in units of the cell vectors:
La  0.0000  0.2787  0.2500
La  0.0000  0.7213  0.7500
La  0.2787  0.0000  0.2500
La  0.2787  0.2787  0.7500
La  0.3333  0.6667  0.0000
La  0.3333  0.6667  0.5000
La  0.6667  0.3333  0.0000
La  0.6667  0.3333  0.5000
La  0.7213  0.0000  0.7500
La  0.7213  0.7213  0.2500
P  0.0000  0.3802  0.7500
P  0.0000  0.6198  0.2500
P  0.3802  0.0000  0.7500
P  0.3802  0.3802  0.2500
P  0.6198  0.0000  0.2500
P  0.6198  0.6198  0.7500
Cl  0.0000  0.0000  0.0000
Cl  0.0000  0.0000  0.5000

Values from the calculation:
raw formation energy: -1.357 eV/atom
final energy: -6.103 eV per atom



First-principles (PBE) data for a relaxed structure of CdIrRh2, as listed in Alexandria.

a = 5.4990 Å, b = 5.4990 Å, c = 5.4990 Å
α = 150.32°, β = 128.84°, γ = 60.27°
Sites, in units of the cell vectors:
Cd  0.0000  0.0000  0.0000
Ir  0.5000  0.5000  0.0000
Rh  0.2656  0.7656  0.5000
Rh  0.7344  0.2344  0.5000

Values from the calculation:
formation energy: 0.217 eV/atom
final energy: -5.903 eV per atom



First-principles (PBE) data for a relaxed structure of YBe2F8, as listed in Alexandria.

a = 5.4780 Å, b = 5.4780 Å, c = 5.8600 Å
α = 110.52°, β = 110.52°, γ = 48.83°
Sites, in units of the cell vectors:
Y  0.0000  0.0000  0.0000
Be  0.2089  0.2089  0.6759
Be  0.7911  0.7911  0.3241
F  0.1151  0.6366  0.2271
F  0.1635  0.1635  0.3947
F  0.3634  0.8849  0.7729
F  0.3737  0.3737  0.8279
F  0.6263  0.6263  0.1721
F  0.6366  0.1151  0.2271
F  0.8365  0.8365  0.6053
F  0.8849  0.3634  0.7729

Values from the calculation:
raw formation energy: -3.102 eV/atom
final energy: -5.728 eV per atom



First-principles (PBE) data for a relaxed structure of NbTe3Pd, as listed in Alexandria.

a = 6.6409 Å, b = 7.0357 Å, c = 7.2229 Å
α = 64.51°, β = 63.75°, γ = 62.04°
Sites, in units of the cell vectors:
Nb  0.1800  0.1291  0.4962
Nb  0.8200  0.8709  0.5038
Te  0.0843  0.7517  0.7739
Te  0.2490  0.5516  0.3026
Te  0.4037  0.0667  0.7821
Te  0.5963  0.9333  0.2179
Te  0.7510  0.4484  0.6974
Te  0.9157  0.2483  0.2261
Pd  0.3541  0.3527  0.9949
Pd  0.6459  0.6473  0.0051

Values from the calculation:
raw formation energy: -0.315 eV/atom
final energy: -5.253 eV per atom
ΔE to the lowest computed polymorph: 0.017 eV/atom



First-principles (PBE) data for a relaxed structure of Pr8Nd2Sc, as listed in Alexandria.

a = 9.0681 Å, b = 9.0681 Å, c = 6.8530 Å
α = 102.18°, β = 102.18°, γ = 45.00°
Sites, in units of the cell vectors:
Pr  0.0975  0.0975  0.9254
Pr  0.1621  0.6804  0.6120
Pr  0.2554  0.2554  0.6683
Pr  0.3196  0.8379  0.3880
Pr  0.6804  0.1621  0.6120
Pr  0.7446  0.7446  0.3317
Pr  0.8379  0.3196  0.3880
Pr  0.9025  0.9025  0.0746
Nd  0.3171  0.3171  0.1871
Nd  0.6829  0.6829  0.8129
Sc  0.5000  0.5000  0.0000

Values from the calculation:
formation energy: 0.155 eV/atom
final energy: -4.764 eV per atom
ΔE to the lowest computed polymorph: 0.044 eV/atom



First-principles (PBE) data for a relaxed structure of LiCaHBrF2, as listed in Alexandria.

a = 4.1569 Å, b = 4.2196 Å, c = 6.5465 Å
α = 107.60°, β = 103.26°, γ = 90.33°
Sites, in units of the cell vectors:
Li  0.0000  0.0000  0.0000
Ca  0.6697  0.5950  0.2942
H  0.8066  0.7986  0.6702
Br  0.3074  0.7967  0.6657
F  0.1109  0.4898  0.1175
F  0.6866  0.0443  0.1899

Values from the calculation:
final energy: -4.237 eV per atom
ΔE to the lowest computed polymorph: 0.036 eV/atom